Entry 1:
A geometry-optimized Pm3Nd7Dy structure. Source: Alexandria via LeMat-Bulk, functional PBE.

Values from the calculation:
* calculated density: 6805 kg/m3
* density of states at the Fermi level: 1.49 states/eV per atom
* E_form: 0.226 eV per atom
* calculated volume: 35.7 Å³ per atom
* E_tot: -99.48 eV per cell

Lattice parameters (Å, degrees): 12.9313 11.4170 5.9884 90.00 117.48 90.00
Last column: nearest neighbours and their distance in Å.
Space group C2/m (No. 12)
Unique sites:
Pm 0.0000 0.0000 0.0000 (multiplicity 2)  4 Nd 3.26
Pm 0.0000 0.2078 0.5000 (multiplicity 4)  5 Nd 3.34-3.62
Nd 0.0000 0.5000 0.5000 (multiplicity 2)  2 Dy 2.99, 2 Pm 3.34
Nd 0.1966 0.2060 0.1968 (multiplicity 8)  2 Pm 3.26-3.62, 3 Nd 3.39-3.53
Nd 0.2095 0.0000 0.7092 (multiplicity 4)  1 Dy 3.33, 2 Pm 3.38, 2 Nd 3.53
Dy 0.0000 0.5000 0.0000 (multiplicity 2)  4 Nd 2.99-3.33

---

Entry 2:
A geometry-optimized PmNd2Dy5 structure. Source: Alexandria via LeMat-Bulk, functional PBE.

Values from the calculation:
* calculated density: 7907 kg/m3
* density of states at the Fermi level: 1.38 states/eV per atom
* E_form: 0.017 eV per atom
* relative energy among the computed polymorphs: 0 meV per atom
* calculated volume: 32.7 Å³ per atom
* E_tot: -74.32 eV per cell

Lattice parameters (Å, degrees): 7.1794 14.3623 5.0754 90.00 90.00 90.00
Last column: nearest neighbours and their distance in Å.
Space group Pbam (No. 55)
Unique sites:
Pm 0.0000 0.0000 0.0000 (multiplicity 2)  8 Dy 3.59-3.60, 4 Nd 3.60
Nd 0.2489 0.3744 0.5000 (multiplicity 4)  10 Dy 3.58-3.60, 2 Pm 3.60
Dy 0.0000 0.5000 0.0000 (multiplicity 2)  6 Dy 3.58-3.59, 2 Pm 3.59, 4 Nd 3.59
Dy 0.0008 0.7493 0.0000 (multiplicity 4)  4 Nd 3.58-3.59, 7 Dy 3.58-3.59, 1 Pm 3.60
Dy 0.2495 0.1253 0.5000 (multiplicity 4)  4 Nd 3.58-3.60, 6 Dy 3.58-3.59, 2 Pm 3.59

---

Entry 3:
A geometry-optimized Pm6Nd5Dy2 structure. Source: Alexandria via LeMat-Bulk, functional PBE.

Values from the calculation:
* calculated density: 7042 kg/m3
* density of states at the Fermi level: 1.20 states/eV per atom
* E_form: 0.090 eV per atom
* calculated volume: 34.8 Å³ per atom
* E_tot: -120.75 eV per cell

Lattice parameters (Å, degrees): 11.8300 20.9050 3.6540 90.00 90.00 90.00
Last column: nearest neighbours and their distance in Å.
Space group Pbam (No. 55)
Unique sites:
Pm 0.0623 0.0807 0.0000 (multiplicity 4)  6 Nd 3.57-3.71, 5 Pm 3.65-3.81, 1 Dy 3.86
Pm 0.0826 0.3682 0.0000 (multiplicity 4)  1 Dy 3.36, 6 Nd 3.45-3.58, 4 Pm 3.55-3.65
Pm 0.1740 0.6382 0.5000 (multiplicity 4)  2 Nd 3.38-3.55, 4 Pm 3.55-3.65, 2 Dy 3.65
Nd 0.0000 0.5000 0.5000 (multiplicity 2)  6 Pm 3.45-3.55, 4 Nd 3.65-3.75
Nd 0.0867 0.2267 0.5000 (multiplicity 4)  5 Pm 3.38-3.57, 4 Dy 3.56-3.66, 2 Nd 3.65
Nd 0.1974 0.9467 0.5000 (multiplicity 4)  6 Pm 3.58-3.71, 3 Nd 3.65-3.75, 2 Dy 3.78
Dy 0.1697 0.7894 0.0000 (multiplicity 4)  3 Pm 3.36-3.65, 4 Nd 3.56-3.66, 2 Dy 3.65